This record from Alexandria via LeMat-Bulk describes a relaxed structure of LiNbGaRh2. The functional is PBE-GGA.

a = 4.733 Å, b = 4.733 Å, c = 5.130 Å
α = 90.00°, β = 90.00°, γ = 90.00°
Positions (direct):
Li  0.000  0.000  0.000
Nb  0.500  0.500  0.500
Ga  0.500  0.500  0.000
Rh  0.000  0.500  0.500
Rh  0.500  0.000  0.500

## Properties
ΔE_f = 639 meV per atom
Fermi-level density of states = 4.27 states/eV per cell
DFT total energy = -5.304 eV/atom
Crystal system = tetragonal
V = 115 Å³/cell